No. 1
The following is a GGA-PBE calculation of CsNaTl2I4 after structural relaxation, from Alexandria via LeMat-Bulk.

a = 5.082 Å, b = 8.769 Å, c = 8.841 Å
α = 70.70°, β = 90.00°, γ = 90.00°
Positions (direct):
Cs 0.500 0.500 0.000
Na 0.000 0.500 0.500
Tl 0.000 0.000 0.000
Tl 0.500 0.000 0.500
I 0.000 0.753 0.721
I 0.000 0.247 0.279
I 0.500 0.747 0.269
I 0.500 0.253 0.731

Properties
Formation energy from raw total energies in eV per atom: -0.9946



No. 2
The following is a GGA-PBE calculation of Cs2NaTl3I6 after structural relaxation, from Alexandria via LeMat-Bulk.

a = 8.971 Å, b = 8.971 Å, c = 8.826 Å
α = 99.88°, β = 99.88°, γ = 119.88°
Positions (direct):
Cs 0.334 0.666 0.000
Cs 0.666 0.334 0.000
Na 0.000 0.000 0.000
Tl 0.166 0.834 0.500
Tl 0.834 0.166 0.500
Tl 0.500 0.500 0.500
I 0.916 0.620 0.749
I 0.784 0.784 0.264
I 0.084 0.380 0.251
I 0.620 0.916 0.749
I 0.216 0.216 0.736
I 0.380 0.084 0.251

Properties
Formation energy from raw total energies in eV per atom: -1.0348



No. 3
The following is a GGA-PBE calculation of Cs2NaTlI5 after structural relaxation, from Alexandria via LeMat-Bulk.

a = 5.402 Å, b = 11.313 Å, c = 15.221 Å
α = 90.00°, β = 90.00°, γ = 103.81°
Positions (direct):
Cs 0.867 0.734 0.820
Cs 0.127 0.253 0.685
Cs 0.133 0.266 0.320
Cs 0.873 0.747 0.185
Na 0.783 0.566 0.535
Na 0.217 0.434 0.035
Tl 0.561 0.122 0.949
Tl 0.439 0.878 0.449
I 0.356 0.711 0.005
I 0.688 0.376 0.870
I 0.499 0.998 0.773
I 0.302 0.605 0.652
I 0.952 0.903 0.535
I 0.644 0.289 0.505
I 0.312 0.624 0.370
I 0.501 0.002 0.273
I 0.698 0.395 0.152
I 0.048 0.097 0.035

Properties
Formation energy from raw total energies in eV per atom: -1.0723



No. 4
The following is a GGA-PBE calculation of CsNaTl2I8 after structural relaxation, from Alexandria via LeMat-Bulk.

a = 7.846 Å, b = 7.846 Å, c = 11.096 Å
α = 110.71°, β = 110.71°, γ = 90.00°
Positions (direct):
Cs 0.750 0.250 0.500
Na 0.000 0.000 0.000
Tl 0.500 0.500 0.000
Tl 0.250 0.750 0.500
I 0.752 0.836 0.149
I 0.398 0.313 0.149
I 0.585 0.685 0.678
I 0.093 0.993 0.678
I 0.007 0.415 0.322
I 0.315 0.907 0.322
I 0.164 0.602 0.851
I 0.687 0.248 0.851

Properties
Formation energy from raw total energies in eV per atom: -0.6206



No. 5
The following is a GGA-PBE calculation of CsNa2TmI6 after structural relaxation, from Alexandria via LeMat-Bulk.

a = 8.275 Å, b = 8.275 Å, c = 9.002 Å
α = 62.63°, β = 62.63°, γ = 60.02°
Positions (direct):
Cs 0.802 0.802 0.596
Na 0.519 0.519 0.444
Na 0.997 0.998 0.006
Tm 0.329 0.329 0.012
I 0.564 0.263 0.226
I 0.263 0.947 0.226
I 0.947 0.564 0.226
I 0.332 0.728 0.760
I 0.728 0.181 0.760
I 0.180 0.331 0.760

Properties
Formation energy from raw total energies in eV per atom: -1.3466



No. 6
The following is a GGA-PBE calculation of CsNa2UI8 after structural relaxation, from Alexandria via LeMat-Bulk.

a = 7.559 Å, b = 7.240 Å, c = 10.676 Å
α = 89.80°, β = 89.93°, γ = 93.81°
Positions (direct):
Cs 0.000 0.000 0.500
Na 0.499 0.499 0.748
Na 0.501 0.501 0.252
U 0.000 0.000 0.000
I 0.150 0.763 0.195
I 0.669 0.746 0.000
I 0.848 0.235 0.195
I 0.850 0.237 0.805
I 0.331 0.254 0.000
I 0.152 0.765 0.805
I 0.518 0.752 0.500
I 0.482 0.248 0.500

Properties
Formation energy from raw total energies in eV per atom: -0.9912



No. 7
The following is a GGA-PBE calculation of Cs2NaWI6 after structural relaxation, from Alexandria via LeMat-Bulk.

a = 8.494 Å, b = 8.494 Å, c = 8.493 Å
α = 60.00°, β = 60.00°, γ = 90.00°
Positions (direct):
Cs 0.750 0.250 0.500
Cs 0.250 0.750 0.500
I 0.234 0.234 0.531
I 0.766 0.766 0.469
I 0.234 0.234 0.000
I 0.766 0.766 0.000
I 0.766 0.234 0.000
I 0.234 0.766 0.000
W 0.000 0.000 0.000
Na 0.500 0.500 0.000

Properties
Formation energy from raw total energies in eV per atom: -0.8128



No. 8
The following is a GGA-PBE calculation of Cs2NaZnI6 after structural relaxation, from Alexandria via LeMat-Bulk.

a = 8.496 Å, b = 8.496 Å, c = 8.501 Å
α = 60.02°, β = 60.02°, γ = 90.00°
Positions (direct):
Cs 0.750 0.250 0.500
Cs 0.250 0.750 0.500
I 0.237 0.237 0.526
I 0.763 0.763 0.474
I 0.237 0.237 0.000
I 0.763 0.763 0.000
I 0.763 0.237 0.000
I 0.237 0.763 0.000
Zn 0.000 0.000 0.000
Na 0.500 0.500 0.000

Properties
Formation energy from raw total energies in eV per atom: -0.9382



No. 9
The following is a GGA-PBE calculation of CsNaZnI4 after structural relaxation, from Alexandria via LeMat-Bulk.

a = 7.595 Å, b = 8.337 Å, c = 10.359 Å
α = 90.00°, β = 108.45°, γ = 90.00°
Positions (direct):
Cs 0.762 0.750 0.940
Cs 0.238 0.250 0.060
Na 0.778 0.750 0.444
Na 0.222 0.250 0.556
Zn 0.210 0.750 0.323
Zn 0.790 0.250 0.677
I 0.018 0.500 0.715
I 0.982 0.000 0.285
I 0.982 0.500 0.285
I 0.018 0.000 0.715
I 0.381 0.750 0.137
I 0.619 0.250 0.863
I 0.451 0.750 0.567
I 0.549 0.250 0.433

Properties
Formation energy from raw total energies in eV per atom: -1.0632



No. 10
The following is a GGA-PBE calculation of CsNa3Zn4I12 after structural relaxation, from Alexandria via LeMat-Bulk.

a = 10.273 Å, b = 10.273 Å, c = 10.273 Å
α = 103.99°, β = 103.99°, γ = 103.99°
Positions (direct):
Cs 0.000 0.000 0.000
Na 0.552 0.448 0.000
Na 0.448 0.000 0.552
Na 0.000 0.552 0.448
Zn 0.939 0.061 0.500
Zn 0.061 0.500 0.939
Zn 0.500 0.939 0.061
Zn 0.500 0.500 0.500
I 0.500 0.343 0.657
I 0.903 0.500 0.097
I 0.097 0.903 0.500
I 0.500 0.097 0.903
I 0.343 0.946 0.218
I 0.218 0.343 0.946
I 0.946 0.218 0.343
I 0.657 0.782 0.054
I 0.054 0.657 0.782
I 0.782 0.054 0.657
I 0.657 0.500 0.343
I 0.343 0.657 0.500

Properties
Formation energy from raw total energies in eV per atom: -0.8327



No. 11
The following is a GGA-PBE calculation of CsNaZn2I6 after structural relaxation, from Alexandria via LeMat-Bulk.

a = 11.153 Å, b = 11.153 Å, c = 9.955 Å
α = 100.13°, β = 100.13°, γ = 118.03°
Positions (direct):
Cs 0.190 0.810 0.250
Cs 0.810 0.190 0.750
Na 0.536 0.464 0.250
Na 0.464 0.536 0.750
Zn 0.383 0.184 0.762
Zn 0.816 0.617 0.738
Zn 0.617 0.816 0.238
Zn 0.184 0.383 0.262
I 0.955 0.378 0.174
I 0.622 0.045 0.326
I 0.045 0.622 0.826
I 0.378 0.955 0.674
I 0.230 0.187 0.161
I 0.813 0.770 0.339
I 0.770 0.813 0.839
I 0.187 0.230 0.661
I 0.387 0.609 0.459
I 0.391 0.613 0.041
I 0.613 0.391 0.541
I 0.609 0.387 0.959

Properties
Formation energy from raw total energies in eV per atom: -0.8787



No. 12
The following is a GGA-PBE calculation of CsNbI after structural relaxation, from Alexandria via LeMat-Bulk.

a = 3.696 Å, b = 7.255 Å, c = 9.635 Å
α = 72.19°, β = 78.98°, γ = 81.38°
Positions (direct):
Cs 0.482 0.820 0.269
Cs 0.518 0.180 0.731
I 0.191 0.318 0.339
I 0.809 0.682 0.661
Nb 0.150 0.626 0.921
Nb 0.850 0.374 0.079

Properties
Formation energy from raw total energies in eV per atom: 0.1034
Distance to the lowest polymorph of the same formula in meV per atom: 8



- What is the formula in the ninth record?
  CsNaZnI4